Density functional theory data (PBE-GGA) for an optimized crystal structure of CuNiC2.

As for the excess energy over the best structure of this formula in the dataset: 0.000 eV per atom. The calculation puts the density of states at the Fermi level at 3.97 states/eV per cell. As for the formation energy from the elements: 29.8 kcal/mol of atoms.

Cell lengths 4.604, 4.604, 5.187 Å; angles 63.65, 63.65, 90.00 degrees
Positions (direct):
Cu 0.000 0.000 0.000
Ni 0.500 0.500 0.000
C 0.603 0.125 0.250
C 0.875 0.853 0.750
Ni 0.250 0.750 0.500
Cu 0.750 0.250 0.500
C 0.375 0.397 0.750
C 0.147 0.625 0.250



Density functional theory data (PBE-GGA) for an optimized crystal structure of CuNiPC.

As for the excess energy over the best structure of this formula in the dataset: 0.098 eV per atom. The calculation puts the density of states at the Fermi level at 1.63 states/eV per cell. As for the formation energy from the elements: 7.7 kcal/mol of atoms.

Cell lengths 2.944, 3.735, 5.333 Å; angles 90.00, 105.18, 90.00 degrees
Positions (direct):
Ni 0.529 0.500 0.297
Cu 0.862 0.000 0.698
C 0.679 0.000 0.326
P 0.079 0.000 0.122



Density functional theory data (PBE-GGA) for an optimized crystal structure of CuNiPC.

As for the excess energy over the best structure of this formula in the dataset: 0.092 eV per atom. The calculation puts the density of states at the Fermi level at 8.91 states/eV per cell. As for the formation energy from the elements: 7.6 kcal/mol of atoms.

Cell lengths 3.597, 3.597, 13.207 Å; angles 90.00, 90.00, 120.00 degrees
Positions (direct):
P 0.333 0.667 0.730
Ni 0.000 0.000 0.794
C 0.000 0.000 0.934
P 0.000 0.000 0.063
P 0.667 0.333 0.397
Ni 0.333 0.667 0.461
Ni 0.667 0.333 0.127
C 0.667 0.333 0.267
Cu 0.000 0.000 0.593
Cu 0.333 0.667 0.260
Cu 0.667 0.333 0.927
C 0.333 0.667 0.600



Density functional theory data (PBE-GGA) for an optimized crystal structure of CuNiPC.

As for the excess energy over the best structure of this formula in the dataset: 0.083 eV per atom. The calculation puts the density of states at the Fermi level at 4.01 states/eV per cell. As for the formation energy from the elements: 7.3 kcal/mol of atoms.

Cell lengths 3.626, 7.925, 5.144 Å; angles 90.00, 135.01, 90.00 degrees
Positions (direct):
P 0.000 0.681 0.500
P 0.000 0.181 0.000
Cu 0.500 0.501 0.500
C 0.000 0.896 0.500
Cu 0.500 0.001 0.000
C 0.000 0.396 0.000
Ni 0.500 0.510 0.000
Ni 0.500 0.010 0.500



Density functional theory data (PBE-GGA) for an optimized crystal structure of CuNiPC.

As for the excess energy over the best structure of this formula in the dataset: 0.128 eV per atom. The calculation puts the density of states at the Fermi level at 1.55 states/eV per cell. As for the formation energy from the elements: 8.4 kcal/mol of atoms.

Cell lengths 3.807, 3.885, 3.921 Å; angles 74.26, 88.89, 63.96 degrees
Positions (direct):
Ni 0.722 0.835 0.567
C 0.803 0.662 0.090
P 0.066 0.240 0.445
Cu 0.703 0.234 0.957



Density functional theory data (PBE-GGA) for an optimized crystal structure of CuNiPC.

As for the excess energy over the best structure of this formula in the dataset: 0.079 eV per atom. The calculation puts the density of states at the Fermi level at 1.41 states/eV per cell. As for the formation energy from the elements: 7.2 kcal/mol of atoms.

Cell lengths 2.961, 3.815, 4.682 Å; angles 105.90, 103.99, 92.03 degrees
Positions (direct):
Ni 0.102 0.451 0.584
Cu 0.746 0.625 0.084
P 0.568 0.030 0.758
C 0.966 0.921 0.514



> Which of these has the highest excess energy over the best structure of this formula in the dataset?

number 5